(1)
The following is a DFT calculation (PBE-GGA) of AlCoTe2 after structural relaxation.

Output
- VASP energy (eV/cell) = -17.35
- formation energy without anion corrections (eV per atom) = -0.05
- symmetry = Amm2 (38)
- volume (Å³ per atom) = 21.04

Lattice parameters (Å, degrees): 4.450 4.435 4.435 74.06 90.00 90.00
Sites, in units of the cell vectors:
Al: 0.000 0.000 0.000
Co: 0.500 0.173 0.173
Te: 0.000 0.379 0.379
Te: 0.500 0.773 0.773

---

(2)
The following is a DFT calculation (PBE-GGA) of KSn2Hg after structural relaxation.

Output
- VASP energy (eV/cell) = -39.82
- DFT formation energy (eV per atom) = -0.14
- symmetry = Pnma (62)
- volume (Å³ per atom) = 32.94

Lattice parameters (Å, degrees): 8.426 4.880 12.817 90.00 90.00 90.00
Sites, in units of the cell vectors:
K: 0.141 0.250 0.139
K: 0.359 0.750 0.639
K: 0.641 0.250 0.361
K: 0.859 0.750 0.861
Sn: 0.034 0.250 0.645
Sn: 0.178 0.250 0.856
Sn: 0.322 0.750 0.356
Sn: 0.466 0.750 0.145
Sn: 0.534 0.250 0.855
Sn: 0.678 0.250 0.644
Sn: 0.822 0.750 0.144
Sn: 0.966 0.750 0.355
Hg: 0.166 0.250 0.434
Hg: 0.334 0.750 0.934
Hg: 0.666 0.250 0.066
Hg: 0.834 0.750 0.566

---

(3)
The following is a DFT calculation (PBE-GGA) of Sr2TcNi after structural relaxation.

Output
- VASP energy (eV/cell) = -17.63
- DFT formation energy (eV per atom) = 0.47
- symmetry = P4mm (99)
- relative energy among the computed polymorphs (eV/atom) = 0.1047
- volume (Å³ per atom) = 26.64

Lattice parameters (Å, degrees): 3.449 3.449 8.958 90.00 90.00 90.00
Sites, in units of the cell vectors:
Sr: 0.000 0.000 0.000
Sr: 0.500 0.500 0.414
Tc: 0.000 0.000 0.673
Ni: 0.500 0.500 0.751

---

Q: VASP energy of number 1 (AlCoTe2)?
A: -17.35 eV/cell